Below is an optimized crystal structure of LiCu2GeCl, with properties calculated at the PBE level.

- Total energy: -13.463 eV per cell
- Magnetic moment: 0.000 μB/atom
- ΔE_f (raw): 0.62 eV per atom
- D(E_F): 1.97 states/eV/f.u.

Cell and atoms, written as POSCAR:
```
LiCu2GeCl
1.0
4.466 0.000 0.000
0.000 4.466 0.000
0.000 0.000 5.478
Li Cu Ge Cl
1 2 1 1
direct
0.000 0.000 0.000
0.000 0.500 0.500
0.500 0.000 0.500
0.500 0.500 0.000
0.500 0.500 0.500
```